DFT (PBE-GGA) results for TlGaHg3 after structural relaxation.

Summary:
total DFT energy (no corrections) = -0.046 Ha/atom
excess energy over the best structure of this formula in the dataset = 0.000 eV per atom
energy of formation from the pure elements = 0.021 eV per atom

Unit cell a=8.813 b=8.813 c=7.292 alpha=102.98 beta=102.98 gamma=77.90
Element x y z (fractional)
Tl 0.035 0.965 0.750
Tl 0.296 0.704 0.250
Tl 0.704 0.296 0.750
Tl 0.965 0.035 0.250
Ga 0.207 0.591 0.697
Ga 0.409 0.793 0.803
Ga 0.591 0.207 0.197
Ga 0.793 0.409 0.303
Hg 0.033 0.325 0.620
Hg 0.051 0.332 0.077
Hg 0.325 0.033 0.120
Hg 0.332 0.051 0.577
Hg 0.367 0.373 0.430
Hg 0.373 0.367 0.930
Hg 0.627 0.633 0.070
Hg 0.633 0.627 0.570
Hg 0.668 0.949 0.423
Hg 0.675 0.967 0.880
Hg 0.949 0.668 0.923
Hg 0.967 0.675 0.380

DFT (PBE-GGA) results for Mg2Sc2Ir after structural relaxation.

Summary:
total DFT energy (no corrections) = -0.198 Ha/atom
energy of formation from the pure elements = -0.453 eV per atom

Unit cell a=10.620 b=10.620 c=10.620 alpha=162.86 beta=162.86 gamma=24.33
Element x y z (fractional)
Mg 0.196 0.196 0.000
Mg 0.804 0.804 0.000
Sc 0.420 0.420 0.000
Sc 0.580 0.580 0.000
Ir 0.000 0.000 0.000